SrMo2P | PBE-GGA | optimized geometry

For the density, the calculation gives 5.56 g/cm3. As for the energy of formation: 42 kJ per mole of atoms. The value obtained for the volume is 370.9 Å³/cell. The value obtained for the density of states at the Fermi level is 4.65 states/eV/f.u.

It has space group I-42d (No. 122), with a = 4.541 Å, b = 4.541 Å, c = 17.986 Å, α = 90.00°, β = 90.00° and γ = 90.00°. The inequivalent atoms are Sr at (0.000, 0.000, 0.000), Mo at (0.082, 0.750, 0.625) and P at (0.000, 0.000, 0.500).